A geometry-optimized KCoSiF2 structure. Source: Alexandria via LeMat-Bulk, functional PBE+U.

Cell lengths 4.121, 4.121, 7.132 Å; angles 90.00, 90.00, 90.00 degrees
Space group P4/mmm (No. 123)
Asymmetric unit:
K  0.000  0.000  0.000 [1 per cell]
Co  0.000  0.000  0.500 [1 per cell]
Si  0.500  0.500  0.000 [1 per cell]
F  0.000  0.500  0.500 [2 per cell]

Results
- volume (Å³ per cell) = 121.1
- DOS(E_F) (states/eV/cell) = 3.133
- calculated total energy (eV/atom) = -3.428